Record 1
VASP calculation (SCAN) on a crystal of Mn2AsOs relaxed with PBEsol.

abc: 4.4720 4.4720 2.8257
angles: 90.00 90.00 111.50
Last column: nearest neighbours and their distance in Å.
Element x y z (fractional)
Mn 0.0000 0.5000 0.0000  2 Mn 2.52, 4 Os 2.64, 4 As 2.64
Mn 0.5000 0.0000 0.0000  2 Mn 2.52, 4 Os 2.64, 4 As 2.64
As 0.0000 0.0000 0.5000  2 Os 2.52, 8 Mn 2.64
Os 0.5000 0.5000 0.5000  2 As 2.52, 8 Mn 2.64

Results
For the formation energy, the calculation gives -0.13 eV per atom. The value obtained for the spin magnetization is 6.17 μB per formula unit.

=====

Record 2
VASP calculation (SCAN) on a crystal of Ca2CrW relaxed with PBEsol.

abc: 3.9215 3.9215 5.0565
angles: 90.00 90.00 90.00
Last column: nearest neighbours and their distance in Å.
Element x y z (fractional)
Ca 0.0000 0.5000 0.0000  4 Ca 2.77
Ca 0.5000 0.0000 0.0000  4 Ca 2.77
Cr 0.0000 0.0000 0.5000  4 W 2.77
W 0.5000 0.5000 0.5000  4 Cr 2.77

Results
For the formation energy, the calculation gives 1.07 eV per atom. As for the offset from the most stable computed form: 1.50 eV per formula unit. The value obtained for the spin magnetization is 1.75 μB per formula unit.

=====

Record 3
VASP calculation (SCAN) on a crystal of Sb2RhBr relaxed with PBEsol.

abc: 3.3254 3.3254 8.9710
angles: 90.00 90.00 90.00
Last column: nearest neighbours and their distance in Å.
Element x y z (fractional)
Sb 0.0000 0.0000 0.0000  1 Br 2.57, 4 Rh 2.60
Sb 0.5000 0.5000 0.4129  1 Rh 2.59
Rh 0.5000 0.5000 0.1239  5 Sb 2.59-2.60
Br 0.0000 0.0000 0.7137  1 Sb 2.57

Results
Its uncorrected formation energy is -0.0621 eV per atom. The value obtained for the spin magnetization is 0.00 μB per formula unit.

=====

Record 4
VASP calculation (SCAN) on a crystal of YCrTe relaxed with PBEsol.

abc: 4.5112 4.5112 3.8015
angles: 90.00 90.00 120.00
Last column: nearest neighbours and their distance in Å.
Element x y z (fractional)
Y 0.0000 0.0000 0.0000  6 Cr 3.22, 6 Te 3.22
Cr 0.6667 0.3333 0.5000  3 Te 2.60
Te 0.3333 0.6667 0.5000  3 Cr 2.60

Results
Its uncorrected formation energy is -0.5161 eV per atom. The value obtained for the spin magnetization is 4.54 μB per formula unit.

=====

Record 5
VASP calculation (SCAN) on a crystal of SrZrAu2 relaxed with PBEsol.

abc: 5.0202 5.0202 5.0202
angles: 121.33 118.62 90.06
Last column: nearest neighbours and their distance in Å.
Element x y z (fractional)
Sr 0.0000 0.0000 0.0000  8 Au 3.06-3.09
Zr 0.5000 0.5000 0.0000  8 Au 2.98-3.17
Au 0.2637 0.7637 0.5000  4 Zr 2.98-3.17, 4 Sr 3.06-3.09
Au 0.7363 0.2363 0.5000  4 Zr 2.98-3.17, 4 Sr 3.06-3.09

Results
For the formation energy, the calculation gives -0.52 eV per atom. As for the offset from the most stable computed form: 0.46 eV per formula unit. The value obtained for the spin magnetization is 0.00 μB per formula unit.

=====

Record 6
VASP calculation (SCAN) on a crystal of Li2ZrPd2 relaxed with PBEsol.

abc: 7.1625 7.1625 7.1625
angles: 152.05 152.05 39.94
Last column: nearest neighbours and their distance in Å.
Element x y z (fractional)
Li 0.2500 0.7500 0.5000  4 Li 2.45, 4 Pd 2.66
Li 0.7500 0.2500 0.5000  4 Li 2.45, 4 Pd 2.66
Zr 0.0000 0.0000 0.0000  8 Pd 2.79
Pd 0.3997 0.3997 0.0000  4 Li 2.66, 1 Pd 2.70, 4 Zr 2.79
Pd 0.6003 0.6003 0.0000  4 Li 2.66, 1 Pd 2.70, 4 Zr 2.79

Results
For the formation energy, the calculation gives -0.49 eV per atom. As for the offset from the most stable computed form: 0.00 eV per formula unit. The value obtained for the spin magnetization is 0.00 μB per formula unit.